This record from Alexandria via LeMat-Bulk describes crystalline Cr3AsRu at its relaxed geometry. The functional is PBE.

Density of states at the Fermi level ... 11.6 states/eV per cell
DFT formation energy ... 1.25 eV/atom
DFT total energy ... -7.31 eV per atom

abc: 4.3874 4.3874 4.3874
angles: 90.00 90.00 90.00
Positions (direct):
Cr 0.0000 0.0000 0.5000
Cr 0.0000 0.5000 0.0000
Cr 0.5000 0.0000 0.0000
As 0.0000 0.0000 0.0000
Ru 0.5000 0.5000 0.5000

This record from Alexandria via LeMat-Bulk describes crystalline ZrTaB2 at its relaxed geometry. The functional is PBE.

Density of states at the Fermi level ... 4.1 states/eV per cell
DFT formation energy ... 0.49 eV/atom
DFT total energy ... -7.95 eV per atom

abc: 6.3380 6.3380 6.3380
angles: 132.31 132.31 69.75
Positions (direct):
Zr 0.0000 0.0000 0.0000
Zr 0.7500 0.2500 0.5000
Ta 0.2500 0.7500 0.5000
Ta 0.5000 0.5000 0.0000
B 0.1490 0.6250 0.0240
B 0.3750 0.3990 0.5240
B 0.6010 0.1250 0.9760
B 0.8750 0.8510 0.4760

This record from Alexandria via LeMat-Bulk describes crystalline Pr3Al2Zn at its relaxed geometry. The functional is PBE.

Density of states at the Fermi level ... 4.5 states/eV per cell
DFT formation energy ... -0.32 eV/atom
DFT total energy ... -4.17 eV per atom

abc: 3.6985 3.6985 11.5154
angles: 90.00 90.00 90.00
Positions (direct):
Pr 0.0000 0.0000 0.0000
Pr 0.0000 0.0000 0.3379
Pr 0.0000 0.0000 0.6621
Al 0.5000 0.5000 0.1714
Al 0.5000 0.5000 0.8286
Zn 0.5000 0.5000 0.5000

This record from Alexandria via LeMat-Bulk describes crystalline Ba3UCd2O8 at its relaxed geometry. The functional is PBE.

DFT total energy ... -6.48 eV per atom

abc: 6.1186 6.1186 8.0669
angles: 90.00 90.00 120.00
Positions (direct):
Ba 0.0000 0.0000 0.0000
Ba 0.3333 0.6667 0.6376
Ba 0.6667 0.3333 0.3624
U 0.0000 0.0000 0.5000
Cd 0.3333 0.6667 0.1864
Cd 0.6667 0.3333 0.8136
O 0.1587 0.3173 0.3468
O 0.1587 0.8413 0.3468
O 0.3173 0.1587 0.6532
O 0.3333 0.6667 0.9332
O 0.6667 0.3333 0.0668
O 0.6827 0.8413 0.3468
O 0.8413 0.1587 0.6532
O 0.8413 0.6827 0.6532

This record from Alexandria via LeMat-Bulk describes crystalline TeAs4Br at its relaxed geometry. The functional is PBE.

Density of states at the Fermi level ... 4.1 states/eV per cell
DFT total energy ... -3.55 eV per atom

abc: 6.0394 6.0394 6.0394
angles: 60.00 60.00 60.00
Positions (direct):
Te 0.0000 0.0000 0.0000
As 0.1883 0.6039 0.6039
As 0.6039 0.1883 0.6039
As 0.6039 0.6039 0.1883
As 0.6039 0.6039 0.6039
Br 0.2500 0.2500 0.2500

This record from Alexandria via LeMat-Bulk describes crystalline Cs4NaAu3 at its relaxed geometry. The functional is PBE.

Density of states at the Fermi level ... 2.4 states/eV per cell
DFT formation energy ... -0.24 eV/atom
DFT total energy ... -2.06 eV per atom

abc: 5.2201 5.2358 13.5793
angles: 90.00 90.00 90.00
Positions (direct):
Cs 0.0000 0.0000 0.0000
Cs 0.0000 0.5000 0.4518
Cs 0.5000 0.0000 0.6749
Cs 0.5000 0.5000 0.1998
Na 0.0000 0.5000 0.7933
Au 0.0000 0.0000 0.2681
Au 0.5000 0.0000 0.3869
Au 0.5000 0.5000 0.9078

This record from Alexandria via LeMat-Bulk describes crystalline Li2CrRe at its relaxed geometry. The functional is PBE.

Density of states at the Fermi level ... 3.8 states/eV per cell
DFT formation energy ... 0.42 eV/atom
DFT total energy ... -6.05 eV per atom

abc: 2.5112 2.5112 9.1590
angles: 90.00 90.00 90.00
Positions (direct):
Li 0.0000 0.0000 0.0000
Li 0.5000 0.5000 0.2800
Cr 0.5000 0.5000 0.7625
Re 0.0000 0.0000 0.5213

This record from Alexandria via LeMat-Bulk describes crystalline Pr2ScPt2 at its relaxed geometry. The functional is PBE.

Density of states at the Fermi level ... 8.5 states/eV per cell
DFT formation energy ... -0.99 eV/atom
DFT total energy ... -6.59 eV per atom

abc: 6.6984 6.6984 11.2998
angles: 118.60 118.60 34.94
Positions (direct):
Pr 0.0358 0.0358 0.1892
Pr 0.1673 0.1673 0.5878
Pr 0.8327 0.8327 0.4122
Pr 0.9642 0.9642 0.8108
Sc 0.2900 0.2900 0.1305
Sc 0.7100 0.7100 0.8695
Pt 0.3672 0.3672 0.9409
Pt 0.4955 0.4955 0.6275
Pt 0.5045 0.5045 0.3725
Pt 0.6328 0.6328 0.0591

This record from Alexandria via LeMat-Bulk describes crystalline Ba2DyF8 at its relaxed geometry. The functional is PBE.

Density of states at the Fermi level ... 13.6 states/eV per cell
DFT total energy ... -5.70 eV per atom

abc: 7.9019 7.9019 5.8520
angles: 110.98 110.98 31.38
Positions (direct):
Ba 0.1674 0.1674 0.1791
Ba 0.8326 0.8326 0.8209
Dy 0.5000 0.5000 0.5000
F 0.0109 0.0109 0.3071
F 0.2199 0.2199 0.7827
F 0.3612 0.3612 0.5511
F 0.4062 0.4062 0.1052
F 0.5938 0.5938 0.8948
F 0.6388 0.6388 0.4489
F 0.7801 0.7801 0.2173
F 0.9891 0.9891 0.6929

This record from Alexandria via LeMat-Bulk describes crystalline SmSiHg at its relaxed geometry. The functional is PBE.

Density of states at the Fermi level ... 2.7 states/eV per cell
DFT total energy ... -4.04 eV per atom

abc: 8.5033 8.5033 3.9174
angles: 99.73 99.73 29.91
Positions (direct):
Sm 0.0972 0.0972 0.3216
Sm 0.9028 0.9028 0.6784
Si 0.4560 0.4560 0.2188
Si 0.5440 0.5440 0.7812
Hg 0.2870 0.2870 0.2186
Hg 0.7130 0.7130 0.7814

This record from Alexandria via LeMat-Bulk describes crystalline TcHgCl2 at its relaxed geometry. The functional is PBE.

Density of states at the Fermi level ... 1.2 states/eV per cell
DFT total energy ... -3.35 eV per atom

abc: 3.1131 3.1131 8.2114
angles: 90.00 90.00 90.00
Positions (direct):
Tc 0.0000 0.0000 0.0000
Hg 0.5000 0.5000 0.7449
Cl 0.0000 0.0000 0.5190
Cl 0.5000 0.5000 0.1471

This record from Alexandria via LeMat-Bulk describes crystalline Hf2NbTc2 at its relaxed geometry. The functional is PBE.

Density of states at the Fermi level ... 9.9 states/eV per cell
DFT formation energy ... -0.02 eV/atom
DFT total energy ... -10.16 eV per atom

abc: 7.3083 7.3083 3.4709
angles: 90.00 90.00 90.00
Positions (direct):
Hf 0.1588 0.3412 0.0000
Hf 0.3412 0.8412 0.0000
Hf 0.6588 0.1588 0.0000
Hf 0.8412 0.6588 0.0000
Nb 0.0000 0.0000 0.5000
Nb 0.5000 0.5000 0.5000
Tc 0.1454 0.6454 0.5000
Tc 0.3546 0.1454 0.5000
Tc 0.6454 0.8546 0.5000
Tc 0.8546 0.3546 0.5000

This record from Alexandria via LeMat-Bulk describes crystalline Tc3Mo2W4 at its relaxed geometry. The functional is PBE.

Density of states at the Fermi level ... 9.0 states/eV per cell
DFT formation energy ... 0.05 eV/atom
DFT total energy ... -11.57 eV per atom

abc: 4.4647 4.4647 8.1572
angles: 90.00 90.00 120.00
Positions (direct):
Tc 0.0000 0.0000 0.0000
Tc 0.3333 0.6667 0.5688
Tc 0.6667 0.3333 0.4312
Mo 0.3333 0.6667 0.2215
Mo 0.6667 0.3333 0.7785
W 0.0000 0.0000 0.3383
W 0.0000 0.0000 0.6617
W 0.3333 0.6667 0.8880
W 0.6667 0.3333 0.1120

This record from Alexandria via LeMat-Bulk describes crystalline SrCaLa2 at its relaxed geometry. The functional is PBE.

Density of states at the Fermi level ... 7.9 states/eV per cell
DFT formation energy ... 0.12 eV/atom
DFT total energy ... -3.27 eV per atom

abc: 6.8771 6.8771 6.6064
angles: 99.84 99.84 32.56
Positions (direct):
Sr 0.0000 0.0000 0.0000
Ca 0.5000 0.5000 0.5000
La 0.2464 0.2464 0.7403
La 0.7536 0.7536 0.2597

This record from Alexandria via LeMat-Bulk describes crystalline GdTaAl4 at its relaxed geometry. The functional is PBE.

Density of states at the Fermi level ... 1.9 states/eV per cell
DFT formation energy ... -0.29 eV/atom
DFT total energy ... -7.10 eV per atom

abc: 5.3476 5.3476 5.3476
angles: 60.00 60.00 60.00
Positions (direct):
Gd 0.0000 0.0000 0.0000
Ta 0.2500 0.2500 0.2500
Al 0.1266 0.6245 0.6245
Al 0.6245 0.1266 0.6245
Al 0.6245 0.6245 0.1266
Al 0.6245 0.6245 0.6245

This record from Alexandria via LeMat-Bulk describes crystalline ZrTe2Os at its relaxed geometry. The functional is PBE.

Density of states at the Fermi level ... 2.9 states/eV per cell
DFT total energy ... -6.75 eV per atom

abc: 3.3066 4.1432 7.8325
angles: 90.00 101.89 90.00
Positions (direct):
Zr 0.0000 0.0000 0.0000
Te 0.3888 0.5000 0.7712
Te 0.6689 0.0000 0.3460
Os 0.5573 0.5000 0.1177

This record from Alexandria via LeMat-Bulk describes crystalline DyY2P3 at its relaxed geometry. The functional is PBE.

Density of states at the Fermi level ... 0.8 states/eV per cell
DFT formation energy ... -1.62 eV/atom
DFT total energy ... -7.25 eV per atom

abc: 6.9472 6.9472 6.9472
angles: 146.41 131.82 60.02
Positions (direct):
Dy 0.0000 0.0000 0.0000
Y 0.3333 0.3333 0.0000
Y 0.6667 0.6667 0.0000
P 0.1663 0.6663 0.5000
P 0.5000 0.0000 0.5000
P 0.8337 0.3337 0.5000

This record from Alexandria via LeMat-Bulk describes crystalline Na3SrCd2 at its relaxed geometry. The functional is PBE.

Density of states at the Fermi level ... 5.8 states/eV per cell
DFT formation energy ... -0.11 eV/atom
DFT total energy ... -1.36 eV per atom

abc: 8.5127 8.5127 9.9360
angles: 116.70 116.70 36.90
Positions (direct):
Na 0.0569 0.0569 0.3823
Na 0.2921 0.2921 0.4665
Na 0.4103 0.4103 0.2796
Na 0.5897 0.5897 0.7204
Na 0.7079 0.7079 0.5335
Na 0.9431 0.9431 0.6177
Sr 0.1396 0.1396 0.0265
Sr 0.8604 0.8604 0.9735
Cd 0.2225 0.2225 0.7511
Cd 0.4331 0.4331 0.8315
Cd 0.5669 0.5669 0.1685
Cd 0.7775 0.7775 0.2489

This record from Alexandria via LeMat-Bulk describes crystalline MgGeIr3 at its relaxed geometry. The functional is PBE.

Density of states at the Fermi level ... 5.2 states/eV per cell
DFT formation energy ... 0.67 eV/atom
DFT total energy ... -5.89 eV per atom

abc: 4.5622 4.5622 4.5622
angles: 90.00 90.00 90.00
Positions (direct):
Mg 0.0000 0.0000 0.0000
Ge 0.5000 0.5000 0.5000
Ir 0.0000 0.5000 0.5000
Ir 0.5000 0.0000 0.5000
Ir 0.5000 0.5000 0.0000

This record from Alexandria via LeMat-Bulk describes crystalline Sm2YF at its relaxed geometry. The functional is PBE.

Density of states at the Fermi level ... 3.1 states/eV per cell
DFT total energy ... -5.59 eV per atom

abc: 8.8656 8.8656 8.8656
angles: 24.53 24.53 24.53
Positions (direct):
Sm 0.2226 0.2226 0.2226
Sm 0.7774 0.7774 0.7774
Y 0.0000 0.0000 0.0000
F 0.5000 0.5000 0.5000

This record from Alexandria via LeMat-Bulk describes crystalline SrPtW2 at its relaxed geometry. The functional is PBE.

Density of states at the Fermi level ... 7.2 states/eV per cell
DFT formation energy ... 0.76 eV/atom
DFT total energy ... -7.65 eV per atom

abc: 3.4551 3.4551 7.3974
angles: 90.00 90.00 90.00
Positions (direct):
Sr 0.0000 0.0000 0.0000
Pt 0.0000 0.0000 0.5000
W 0.5000 0.5000 0.3386
W 0.5000 0.5000 0.6614

This record from Alexandria via LeMat-Bulk describes crystalline TiRe2B at its relaxed geometry. The functional is PBE.

Density of states at the Fermi level ... 4.7 states/eV per cell
DFT formation energy ... 0.34 eV/atom
DFT total energy ... -9.52 eV per atom

abc: 8.1934 8.1934 8.1934
angles: 20.00 20.00 20.00
Positions (direct):
Ti 0.0000 0.0000 0.0000
Re 0.1067 0.1067 0.1067
Re 0.8933 0.8933 0.8933
B 0.5000 0.5000 0.5000

This record from Alexandria via LeMat-Bulk describes crystalline SrHfZr2I at its relaxed geometry. The functional is PBE.

Density of states at the Fermi level ... 6.5 states/eV per cell
DFT total energy ... -5.27 eV per atom

abc: 5.1771 5.1771 6.7576
angles: 90.00 90.00 90.00
Positions (direct):
Sr 0.0000 0.0000 0.0000
Hf 0.0000 0.0000 0.5000
Zr 0.0000 0.5000 0.5000
Zr 0.5000 0.0000 0.5000
I 0.5000 0.5000 0.0000

This record from Alexandria via LeMat-Bulk describes crystalline In3Sn3Hg2 at its relaxed geometry. The functional is PBE.

Density of states at the Fermi level ... 2.8 states/eV per cell
DFT formation energy ... 0.04 eV/atom
DFT total energy ... -2.57 eV per atom

abc: 9.3453 9.3453 4.9751
angles: 104.64 104.64 30.78
Positions (direct):
In 0.0000 0.0000 0.0000
In 0.1277 0.1277 0.6217
In 0.8723 0.8723 0.3783
Sn 0.3744 0.3744 0.8821
Sn 0.5000 0.5000 0.5000
Sn 0.6256 0.6256 0.1179
Hg 0.2494 0.2494 0.2492
Hg 0.7506 0.7506 0.7508

This record from Alexandria via LeMat-Bulk describes crystalline SiSeSN at its relaxed geometry. The functional is PBE.

Density of states at the Fermi level ... 2.0 states/eV per cell
DFT total energy ... -5.47 eV per atom

abc: 2.9237 4.3059 7.0602
angles: 84.00 81.74 70.17
Positions (direct):
Si 0.0000 0.0000 0.0000
Se 0.1825 0.8380 0.7043
S 0.1574 0.5438 0.2046
N 0.3727 0.2049 0.0718

This record from Alexandria via LeMat-Bulk describes crystalline TlSbSe2 at its relaxed geometry. The functional is PBE.

Density of states at the Fermi level ... 1.7 states/eV per cell
DFT total energy ... -3.51 eV per atom

abc: 3.2234 5.8204 6.1547
angles: 90.00 90.19 90.00
Positions (direct):
Tl 0.0000 0.0000 0.0000
Sb 0.5010 0.5000 0.4632
Se 0.4989 0.5000 0.0419
Se 0.5013 0.0000 0.5152

This record from Alexandria via LeMat-Bulk describes crystalline Mn2VTe2 at its relaxed geometry. The functional is PBE.

Density of states at the Fermi level ... 5.2 states/eV per cell
DFT total energy ... -6.43 eV per atom

abc: 7.8642 7.8642 7.8642
angles: 153.38 153.38 38.00
Positions (direct):
Mn 0.2500 0.7500 0.5000
Mn 0.7500 0.2500 0.5000
V 0.0000 0.0000 0.0000
Te 0.3856 0.3856 0.0000
Te 0.6144 0.6144 0.0000